# 1
! Sb3Cl | the Alexandria database | PBE-GGA | optimized geometry; values from VASP
&SYSTEM
  ibrav = 0, nat = 4, ntyp = 2
/
ATOMIC_SPECIES
Sb 121.76 Sb.upf
Cl 35.45 Cl.upf
CELL_PARAMETERS angstrom
-2.7961 -2.3202 3.7960
-0.2475 -5.2428 0.2500
2.4523 -2.5642 3.8758
ATOMIC_POSITIONS angstrom
Sb -0.1478 -2.5318 1.9804
Sb -0.4435 -7.5954 5.9413
Sb -0.2956 -5.0636 3.9609
Cl 0.0000 0.0000 0.0000
! offset from the most stable computed form	119	meV/atom
! calculated volume	102.59	Å³ per cell
! uncorrected formation energy	0.0632	eV per atom
! symmetry	Fm-3m, No. 225



# 2
! ScAlZn2 | the Alexandria database | PBE-GGA | optimized geometry; values from VASP
&SYSTEM
  ibrav = 0, nat = 4, ntyp = 3
/
ATOMIC_SPECIES
Sc 44.96 Sc.upf
Al 26.98 Al.upf
Zn 65.41 Zn.upf
CELL_PARAMETERS angstrom
-3.8995 -1.2326 -0.1501
0.6288 -2.3865 3.2623
-1.0592 3.0539 2.4382
ATOMIC_POSITIONS angstrom
Sc -0.2152 0.3337 2.8502
Al -2.4793 0.9107 1.1440
Zn -1.6354 -1.8095 1.5561
Zn 0.0000 0.0000 0.0000
! calculated volume	67.78	Å³ per cell
! formation energy	-32	kJ/mol of atoms
! symmetry	P4/mmm, No. 123



The following VASP energy values (in eV/f.u.) correspond, in order, to the records above: -13.96, -13.94.